Computed, not measured: BaAs2RhSe after structural relaxation at the GGA-PBE level of DFT.

abc: 5.754 5.754 5.873
angles: 90.00 90.00 90.00
Space group P4/mmm (No. 123)
Inequivalent atoms, fractional coordinates:
1 Ba 0.000 0.000 0.000 [1 per cell]
2 As 0.000 0.500 0.000 [2 per cell]
3 Rh 0.500 0.500 0.500 [1 per cell]
4 Se 0.000 0.000 0.500 [1 per cell]

Properties
- Fermi-level density of states (states/eV per atom) = 1.699
- ΔE to the lowest computed polymorph (meV per atom) = 2019
- formation energy (no corrections) (eV per atom) = 1.526

***

Computed, not measured: YAgHg after structural relaxation at the GGA-PBE level of DFT.

abc: 3.833 3.833 9.442
angles: 90.00 90.00 90.00
Space group I4mm (No. 107)
Inequivalent atoms, fractional coordinates:
1 Y 0.000 0.000 0.000 [2 per cell]
2 Ag 0.000 0.000 0.332 [2 per cell]
3 Hg 0.000 0.000 0.672 [2 per cell]

Properties
- Fermi-level density of states (states/eV per atom) = 0.397
- energy of formation from the pure elements (meV per atom) = -345

***

Computed, not measured: SmDyHoTh2 after structural relaxation at the GGA-PBE level of DFT.

abc: 6.657 15.671 6.659
angles: 90.00 90.00 90.00
Space group Cmcm (No. 63)
Inequivalent atoms, fractional coordinates:
1 Sm 0.000 0.153 0.250 [4 per cell]
2 Dy 0.000 0.348 0.250 [4 per cell]
3 Ho 0.000 0.252 0.750 [4 per cell]
4 Th 0.249 0.500 0.000 [8 per cell]

Properties
- Fermi-level density of states (states/eV per atom) = 1.445
- energy of formation from the pure elements (meV per atom) = 424

***

Computed, not measured: Pm2CuGePt6 after structural relaxation at the GGA-PBE level of DFT.

abc: 9.703 5.594 8.343
angles: 90.00 112.89 90.00
Space group C2/m (No. 12)
Inequivalent atoms, fractional coordinates:
1 Pm 0.202 0.000 0.105 [4 per cell]
2 Cu 0.000 0.500 0.000 [2 per cell]
3 Ge 0.000 0.000 0.500 [2 per cell]
4 Pt 0.006 0.256 0.260 [8 per cell]
5 Pt 0.250 0.000 0.741 [4 per cell]

Properties
- Fermi-level density of states (states/eV per atom) = 0.379
- energy of formation from the pure elements (meV per atom) = -721

***

Computed, not measured: NaBi5Pd6 after structural relaxation at the GGA-PBE level of DFT.

abc: 4.905 6.966 7.793
angles: 90.00 108.18 90.00
Space group P2/m (No. 10)
Inequivalent atoms, fractional coordinates:
1 Na 0.000 0.000 0.000 [1 per cell]
2 Bi 0.000 0.500 0.000 [1 per cell]
3 Bi 0.333 0.500 0.665 [2 per cell]
4 Bi 0.343 0.000 0.689 [2 per cell]
5 Pd 0.175 0.238 0.347 [4 per cell]
6 Pd 0.500 0.268 0.000 [2 per cell]

Properties
- Fermi-level density of states (states/eV per atom) = 0.448
- ΔE to the lowest computed polymorph (meV per atom) = 11
- energy of formation from the pure elements (meV per atom) = -249

***

Computed, not measured: Tb3Tm5Th after structural relaxation at the GGA-PBE level of DFT.

abc: 8.749 8.749 14.812
angles: 90.00 90.00 90.00
Space group I4/mcm (No. 140)
Inequivalent atoms, fractional coordinates:
1 Tb 0.000 0.000 0.250 [4 per cell]
2 Tb 0.114 0.386 0.000 [8 per cell]
3 Tm 0.000 0.000 0.000 [4 per cell]
4 Tm 0.209 0.291 0.366 [16 per cell]
5 Th 0.000 0.500 0.250 [4 per cell]

Properties
- Fermi-level density of states (states/eV per atom) = 1.191
- energy of formation from the pure elements (meV per atom) = 313

***

Computed, not measured: NaThAg2 after structural relaxation at the GGA-PBE level of DFT.

abc: 7.288 7.288 7.288
angles: 90.00 90.00 90.00
Space group Fm-3m (No. 225)
Inequivalent atoms, fractional coordinates:
1 Na 0.000 0.000 0.000 [4 per cell]
2 Th 0.000 0.000 0.500 [4 per cell]
3 Ag 0.250 0.250 0.250 [8 per cell]

Properties
- Fermi-level density of states (states/eV per atom) = 0.703
- ΔE to the lowest computed polymorph (meV per atom) = 43
- energy of formation from the pure elements (meV per atom) = 57

***

Computed, not measured: Pu2InS6 after structural relaxation at the GGA-PBE level of DFT.

abc: 7.3590 7.3590 3.7878
angles: 90.00 90.00 120.00
Space group P-62m (No. 189)
Inequivalent atoms, fractional coordinates:
1 Pu 0.3333 0.6667 0.0000 [2 per cell]
2 In 0.0000 0.0000 0.5000 [1 per cell]
3 S 0.0000 0.4420 0.5000 [3 per cell]
4 S 0.0000 0.7466 0.0000 [3 per cell]

Properties
- Fermi-level density of states (states/eV per atom) = 1.717
- formation energy (no corrections) (eV per atom) = -0.910

***

Computed, not measured: Ti2MoPd after structural relaxation at the GGA-PBE level of DFT.

abc: 4.425 4.425 3.198
angles: 90.00 90.00 90.00
Space group P4/mmm (No. 123)
Inequivalent atoms, fractional coordinates:
1 Ti 0.000 0.500 0.000 [2 per cell]
2 Mo 0.000 0.000 0.500 [1 per cell]
3 Pd 0.500 0.500 0.500 [1 per cell]

Properties
- Fermi-level density of states (states/eV per atom) = 0.796
- energy of formation from the pure elements (meV per atom) = -388

***

Computed, not measured: NiTe2Ir after structural relaxation at the GGA-PBE level of DFT.

abc: 5.181 3.776 5.265
angles: 90.00 93.48 90.00
Space group P2/m (No. 10)
Inequivalent atoms, fractional coordinates:
1 Ni 0.000 0.000 0.000 [1 per cell]
2 Te 0.254 0.500 0.235 [2 per cell]
3 Ir 0.500 0.000 0.000 [1 per cell]

Properties
- Fermi-level density of states (states/eV per atom) = 1.054
- ΔE to the lowest computed polymorph (meV per atom) = 227
- formation energy (no corrections) (eV per atom) = 0.149

***

Computed, not measured: Pr3Tl2Pd2 after structural relaxation at the GGA-PBE level of DFT.

abc: 4.099 23.671 3.888
angles: 90.00 90.00 90.00
Space group Cmmm (No. 65)
Inequivalent atoms, fractional coordinates:
1 Pr 0.000 0.000 0.000 [2 per cell]
2 Pr 0.000 0.171 0.000 [4 per cell]
3 Tl 0.000 0.416 0.500 [4 per cell]
4 Pd 0.000 0.289 0.500 [4 per cell]

Properties
- Fermi-level density of states (states/eV per atom) = 0.651
- energy of formation from the pure elements (meV per atom) = -606

***

Computed, not measured: TaAl2Se after structural relaxation at the GGA-PBE level of DFT.

abc: 3.288 3.659 5.795
angles: 90.00 90.00 90.00
Space group Pmm2 (No. 25)
Inequivalent atoms, fractional coordinates:
1 Ta 0.000 0.000 0.000 [1 per cell]
2 Al 0.000 0.000 0.484 [1 per cell]
3 Al 0.500 0.500 0.251 [1 per cell]
4 Se 0.500 0.500 0.772 [1 per cell]

Properties
- Fermi-level density of states (states/eV per atom) = 0.542
- formation energy (no corrections) (eV per atom) = -0.018